one.
The following is a PBE calculation of crystalline Al2RhCl at its relaxed geometry, from Alexandria via LeMat-Bulk.

Cell lengths 4.571, 4.571, 4.571 Å; angles 60.00, 60.00, 60.00 degrees
Sites, in units of the cell vectors:
Al (0.000, 0.000, 0.000)
Al (0.250, 0.250, 0.250)
Rh (0.500, 0.500, 0.500)
Cl (0.750, 0.750, 0.750)

- volume (Å³ per cell) = 67.52



two.
The following is a PBE calculation of crystalline Al2RhCl at its relaxed geometry, from Alexandria via LeMat-Bulk.

Cell lengths 8.332, 8.332, 8.332 Å; angles 159.39, 156.14, 31.73 degrees
Sites, in units of the cell vectors:
Al (0.000, 0.000, 0.000)
Al (0.683, 0.183, 0.500)
Rh (0.123, 0.623, 0.500)
Cl (0.403, 0.403, 0.000)

- volume (Å³ per cell) = 82.32



three.
The following is a PBE calculation of crystalline Al2RhCl at its relaxed geometry, from Alexandria via LeMat-Bulk.

Cell lengths 4.544, 4.544, 4.544 Å; angles 60.00, 60.00, 60.00 degrees
Sites, in units of the cell vectors:
Al (0.250, 0.250, 0.250)
Al (0.750, 0.750, 0.750)
Rh (0.000, 0.000, 0.000)
Cl (0.500, 0.500, 0.500)

- volume (Å³ per cell) = 66.32



Pick two: it beats the second-best structure by 610 meV/atom.



one.
The following is a PBE calculation of crystalline Al3RhCl at its relaxed geometry, from Alexandria via LeMat-Bulk.

Cell lengths 4.601, 4.601, 4.601 Å; angles 90.00, 90.00, 90.00 degrees
Sites, in units of the cell vectors:
Al (0.000, 0.000, 0.500)
Al (0.000, 0.500, 0.000)
Al (0.500, 0.000, 0.000)
Rh (0.500, 0.500, 0.500)
Cl (0.000, 0.000, 0.000)

- volume (Å³ per cell) = 97.39



two.
The following is a PBE calculation of crystalline Al3RhCl at its relaxed geometry, from Alexandria via LeMat-Bulk.

Cell lengths 4.774, 4.774, 4.774 Å; angles 90.00, 90.00, 90.00 degrees
Sites, in units of the cell vectors:
Al (0.000, 0.000, 0.500)
Al (0.000, 0.500, 0.000)
Al (0.500, 0.000, 0.000)
Rh (0.000, 0.000, 0.000)
Cl (0.500, 0.500, 0.500)

- volume (Å³ per cell) = 108.81



Pick two: it beats the second-best structure by 1259 meV/atom.



one.
The following is a PBE calculation of crystalline AlRuCl2 at its relaxed geometry, from Alexandria via LeMat-Bulk.

Cell lengths 8.878, 8.878, 8.878 Å; angles 22.75, 22.75, 22.75 degrees
Sites, in units of the cell vectors:
Al (0.000, 0.000, 0.000)
Ru (0.500, 0.500, 0.500)
Cl (0.116, 0.116, 0.116)
Cl (0.884, 0.884, 0.884)

- volume (Å³ per cell) = 91.84



two.
The following is a PBE calculation of crystalline AlRuCl2 at its relaxed geometry, from Alexandria via LeMat-Bulk.

Cell lengths 6.363, 6.363, 6.363 Å; angles 152.89, 99.65, 86.69 degrees
Sites, in units of the cell vectors:
Al (0.000, 0.000, 0.000)
Ru (0.781, 0.281, 0.500)
Cl (0.192, 0.692, 0.500)
Cl (0.591, 0.591, 0.000)

- volume (Å³ per cell) = 113.31



Pick two: it beats the second-best structure by 346 meV/atom.



one.
The following is a PBE calculation of crystalline AlRuCl2 at its relaxed geometry, from Alexandria via LeMat-Bulk.

Cell lengths 8.636, 8.636, 8.636 Å; angles 151.95, 151.95, 40.09 degrees
Sites, in units of the cell vectors:
Al (0.000, 0.000, 0.000)
Al (0.750, 0.250, 0.500)
Ru (0.250, 0.750, 0.500)
Ru (0.500, 0.500, 0.000)
Cl (0.132, 0.625, 0.007)
Cl (0.375, 0.382, 0.507)
Cl (0.618, 0.125, 0.993)
Cl (0.875, 0.868, 0.493)

- volume (Å³ per cell) = 142.19



two.
The following is a PBE calculation of crystalline AlRuCl2 at its relaxed geometry, from Alexandria via LeMat-Bulk.

Cell lengths 3.749, 3.094, 7.596 Å; angles 90.00, 97.53, 90.00 degrees
Sites, in units of the cell vectors:
Al (0.000, 0.000, 0.000)
Ru (0.533, 0.500, 0.106)
Cl (0.222, 0.500, 0.787)
Cl (0.614, 0.000, 0.355)

- volume (Å³ per cell) = 87.36



three.
The following is a PBE calculation of crystalline AlRuCl2 at its relaxed geometry, from Alexandria via LeMat-Bulk.

Cell lengths 3.311, 3.311, 9.304 Å; angles 90.00, 90.00, 125.06 degrees
Sites, in units of the cell vectors:
Al (0.000, 0.000, 0.000)
Ru (0.500, 0.500, 0.212)
Cl (0.000, 0.000, 0.403)
Cl (0.500, 0.500, 0.808)

- volume (Å³ per cell) = 83.48



four.
The following is a PBE calculation of crystalline AlRuCl2 at its relaxed geometry, from Alexandria via LeMat-Bulk.

Cell lengths 4.334, 3.089, 5.042 Å; angles 90.00, 105.71, 90.00 degrees
Sites, in units of the cell vectors:
Al (0.000, 0.000, 0.000)
Ru (0.000, 0.500, 0.500)
Cl (0.500, 0.000, 0.500)
Cl (0.500, 0.500, 0.000)

- volume (Å³ per cell) = 65.00



Pick two: it beats the second-best structure by 123 meV/atom.



one.
The following is a PBE calculation of crystalline AlRuCl2 at its relaxed geometry, from Alexandria via LeMat-Bulk.

Cell lengths 5.129, 5.129, 3.347 Å; angles 108.29, 108.29, 111.13 degrees
Sites, in units of the cell vectors:
Al (0.000, 0.000, 0.000)
Ru (0.500, 0.500, 0.000)
Cl (0.000, 0.500, 0.000)
Cl (0.500, 0.000, 0.000)

- volume (Å³ per cell) = 68.33



two.
The following is a PBE calculation of crystalline AlRuCl2 at its relaxed geometry, from Alexandria via LeMat-Bulk.

Cell lengths 3.346, 4.207, 4.871 Å; angles 90.00, 90.47, 90.00 degrees
Sites, in units of the cell vectors:
Al (0.000, 0.000, 0.000)
Ru (0.500, 0.000, 0.500)
Cl (0.282, 0.500, 0.261)
Cl (0.718, 0.500, 0.739)

- volume (Å³ per cell) = 68.57



Pick two: it beats the second-best structure by 76 meV/atom.



one.
The following is a PBE calculation of crystalline AlRuCl2 at its relaxed geometry, from Alexandria via LeMat-Bulk.

Cell lengths 3.156, 3.156, 8.052 Å; angles 90.00, 90.00, 90.00 degrees
Sites, in units of the cell vectors:
Al (0.000, 0.000, 0.000)
Ru (0.000, 0.000, 0.500)
Cl (0.500, 0.500, 0.295)
Cl (0.500, 0.500, 0.705)

- volume (Å³ per cell) = 80.18



two.
The following is a PBE calculation of crystalline AlRuCl2 at its relaxed geometry, from Alexandria via LeMat-Bulk.

Cell lengths 9.327, 9.327, 9.327 Å; angles 18.49, 18.49, 18.49 degrees
Sites, in units of the cell vectors:
Al (0.000, 0.000, 0.000)
Ru (0.500, 0.500, 0.500)
Cl (0.418, 0.418, 0.418)
Cl (0.582, 0.582, 0.582)

- volume (Å³ per cell) = 71.29



Pick two: it beats the second-best structure by 236 meV/atom.



one.
The following is a PBE calculation of crystalline AlRuS2Cl at its relaxed geometry, from Alexandria via LeMat-Bulk.

Cell lengths 4.643, 4.643, 4.593 Å; angles 90.00, 90.00, 90.00 degrees
Sites, in units of the cell vectors:
Al (0.000, 0.000, 0.000)
Ru (0.500, 0.500, 0.500)
S (0.000, 0.500, 0.000)
S (0.500, 0.000, 0.000)
Cl (0.000, 0.000, 0.500)

- volume (Å³ per cell) = 99.02



two.
The following is a PBE calculation of crystalline AlRuS2Cl at its relaxed geometry, from Alexandria via LeMat-Bulk.

Cell lengths 4.587, 4.587, 5.016 Å; angles 90.00, 90.00, 90.00 degrees
Sites, in units of the cell vectors:
Al (0.000, 0.000, 0.000)
Ru (0.500, 0.500, 0.500)
S (0.000, 0.500, 0.500)
S (0.500, 0.000, 0.500)
Cl (0.500, 0.500, 0.000)

- volume (Å³ per cell) = 105.54



Pick two: it beats the second-best structure by 203 meV/atom.



one.
The following is a PBE calculation of crystalline AlRuSCl2 at its relaxed geometry, from Alexandria via LeMat-Bulk.

Cell lengths 4.636, 4.636, 4.754 Å; angles 90.00, 90.00, 90.00 degrees
Sites, in units of the cell vectors:
Al (0.000, 0.000, 0.000)
Ru (0.500, 0.500, 0.500)
S (0.000, 0.000, 0.500)
Cl (0.000, 0.500, 0.000)
Cl (0.500, 0.000, 0.000)

- volume (Å³ per cell) = 102.15



two.
The following is a PBE calculation of crystalline AlRuSCl2 at its relaxed geometry, from Alexandria via LeMat-Bulk.

Cell lengths 5.064, 5.064, 4.398 Å; angles 90.00, 90.00, 90.00 degrees
Sites, in units of the cell vectors:
Al (0.000, 0.000, 0.000)
Ru (0.500, 0.500, 0.500)
S (0.500, 0.500, 0.000)
Cl (0.000, 0.500, 0.500)
Cl (0.500, 0.000, 0.500)

- volume (Å³ per cell) = 112.77



Pick two: it beats the second-best structure by 242 meV/atom.



one.
The following is a PBE calculation of crystalline AlSCl2 at its relaxed geometry, from Alexandria via LeMat-Bulk.

Cell lengths 9.655, 9.655, 9.655 Å; angles 19.93, 19.93, 19.93 degrees
Sites, in units of the cell vectors:
Al (0.000, 0.000, 0.000)
S (0.500, 0.500, 0.500)
Cl (0.386, 0.386, 0.386)
Cl (0.614, 0.614, 0.614)

- volume (Å³ per cell) = 91.48



two.
The following is a PBE calculation of crystalline AlSCl2 at its relaxed geometry, from Alexandria via LeMat-Bulk.

Cell lengths 11.958, 11.958, 11.958 Å; angles 15.86, 15.86, 15.86 degrees
Sites, in units of the cell vectors:
Al (0.000, 0.000, 0.000)
S (0.500, 0.500, 0.500)
Cl (0.059, 0.059, 0.059)
Cl (0.941, 0.941, 0.941)

- volume (Å³ per cell) = 111.29



three.
The following is a PBE calculation of crystalline AlSCl2 at its relaxed geometry, from Alexandria via LeMat-Bulk.

Cell lengths 4.784, 4.784, 4.784 Å; angles 60.00, 60.00, 60.00 degrees
Sites, in units of the cell vectors:
Al (0.000, 0.000, 0.000)
S (0.500, 0.500, 0.500)
Cl (0.250, 0.250, 0.250)
Cl (0.750, 0.750, 0.750)

- volume (Å³ per cell) = 77.44



four.
The following is a PBE calculation of crystalline AlSCl2 at its relaxed geometry, from Alexandria via LeMat-Bulk.

Cell lengths 6.755, 6.755, 6.755 Å; angles 96.62, 96.62, 140.29 degrees
Sites, in units of the cell vectors:
Al (0.000, 0.000, 0.000)
Al (0.750, 0.250, 0.500)
S (0.250, 0.750, 0.500)
S (0.500, 0.500, 0.000)
Cl (0.375, 0.218, 0.343)
Cl (0.782, 0.125, 0.157)
Cl (0.875, 0.032, 0.657)
Cl (0.968, 0.625, 0.843)

- volume (Å³ per cell) = 185.21



Pick four: it beats the second-best structure by 522 meV/atom.



one.
The following is a PBE calculation of crystalline Al2SCl at its relaxed geometry, from Alexandria via LeMat-Bulk.

Cell lengths 5.979, 5.979, 5.979 Å; angles 107.74, 107.74, 112.99 degrees
Sites, in units of the cell vectors:
Al (0.095, 0.125, 0.470)
Al (0.375, 0.905, 0.030)
Al (0.655, 0.625, 0.530)
Al (0.875, 0.345, 0.970)
S (0.000, 0.000, 0.000)
S (0.750, 0.250, 0.500)
Cl (0.250, 0.750, 0.500)
Cl (0.500, 0.500, 0.000)

- volume (Å³ per cell) = 164.05



two.
The following is a PBE calculation of crystalline Al2SCl at its relaxed geometry, from Alexandria via LeMat-Bulk.

Cell lengths 4.702, 4.702, 4.702 Å; angles 60.00, 60.00, 60.00 degrees
Sites, in units of the cell vectors:
Al (0.250, 0.250, 0.250)
Al (0.750, 0.750, 0.750)
S (0.000, 0.000, 0.000)
Cl (0.500, 0.500, 0.500)

- volume (Å³ per cell) = 73.49



Pick one: it beats the second-best structure by 136 meV/atom.



one.
The following is a PBE calculation of crystalline Al2S2Cl at its relaxed geometry, from Alexandria via LeMat-Bulk.

Cell lengths 7.196, 7.196, 7.196 Å; angles 117.41, 117.41, 94.55 degrees
Sites, in units of the cell vectors:
Al (0.294, 0.000, 0.294)
Al (0.706, 0.000, 0.706)
Al (0.750, 0.544, 0.794)
Al (0.750, 0.956, 0.206)
S (0.001, 0.768, 0.233)
S (0.518, 0.251, 0.733)
S (0.518, 0.785, 0.267)
S (0.535, 0.768, 0.767)
Cl (0.097, 0.097, 0.000)
Cl (0.847, 0.347, 0.500)

- volume (Å³ per cell) = 272.85



two.
The following is a PBE calculation of crystalline Al2S2Cl at its relaxed geometry, from Alexandria via LeMat-Bulk.

Cell lengths 7.892, 7.892, 7.892 Å; angles 154.22, 154.22, 36.77 degrees
Sites, in units of the cell vectors:
Al (0.159, 0.159, 0.000)
Al (0.841, 0.841, 0.000)
S (0.330, 0.330, 0.000)
S (0.670, 0.670, 0.000)
Cl (0.000, 0.000, 0.000)

- volume (Å³ per cell) = 92.84



Pick two: it beats the second-best structure by 64 meV/atom.



one.
The following is a PBE calculation of crystalline AlSnS2Cl at its relaxed geometry, from Alexandria via LeMat-Bulk.

Cell lengths 5.021, 5.021, 5.242 Å; angles 90.00, 90.00, 90.00 degrees
Sites, in units of the cell vectors:
Al (0.000, 0.000, 0.000)
Sn (0.500, 0.500, 0.500)
S (0.000, 0.500, 0.500)
S (0.500, 0.000, 0.500)
Cl (0.500, 0.500, 0.000)

- volume (Å³ per cell) = 132.14



two.
The following is a PBE calculation of crystalline AlSnS2Cl at its relaxed geometry, from Alexandria via LeMat-Bulk.

Cell lengths 4.762, 4.762, 4.597 Å; angles 90.00, 90.00, 90.00 degrees
Sites, in units of the cell vectors:
Al (0.000, 0.000, 0.000)
Sn (0.500, 0.500, 0.500)
S (0.000, 0.500, 0.000)
S (0.500, 0.000, 0.000)
Cl (0.000, 0.000, 0.500)

- volume (Å³ per cell) = 104.24



Pick two: it beats the second-best structure by 588 meV/atom.